Record 1
This record from Alexandria describes Cr2FeSb after structural relaxation. The functional is PBE.

Total magnetic moment = 2.5 μB per cell
Formation energy (no corrections) = 327 meV per atom
DOS(E_F) = 4.32 states/eV/f.u.

Cell and atoms, written as CIF:
```
data_Cr2FeSb
_chemical_formula_sum 'Cr2 Fe1 Sb1'
_space_group_name_H-M_alt 'P m m 2'
_space_group_IT_number 25
_cell_length_a 3.0133
_cell_length_b 3.5772
_cell_length_c 5.4781
_cell_angle_alpha 90.00
_cell_angle_beta 90.00
_cell_angle_gamma 90.00
loop_
_space_group_symop_operation_xyz
'x,y,z'
'-x,-y,z'
'-x,y,z'
'x,-y,z'
loop_
_atom_site_label
_atom_site_type_symbol
_atom_site_fract_x
_atom_site_fract_y
_atom_site_fract_z
_atom_site_occupancy
Cr1 Cr 0.0000 0.0000 0.0000 1
Cr2 Cr 0.5000 0.5000 0.2053 1
Fe1 Fe 0.0000 0.0000 0.4556 1
Sb1 Sb 0.5000 0.5000 0.7048 1
```

Record 2
This record from Alexandria describes CrFeSb2 after structural relaxation. The functional is PBE.

Total magnetic moment = 0.0 μB per cell
Formation energy (no corrections) = 433 meV per atom
DOS(E_F) = 1.88 states/eV/f.u.
Polymorph energy (0 for the lowest one) = 229 meV per atom

Cell and atoms, written as CIF:
```
data_CrFeSb2
_chemical_formula_sum 'Cr4 Fe4 Sb8'
_space_group_name_H-M_alt 'F m -3 m'
_space_group_IT_number 225
_space_group_name_Hall '-F 4 2 3'
_cell_length_a 6.3566
_cell_length_b 6.3566
_cell_length_c 6.3566
_cell_angle_alpha 90.00
_cell_angle_beta 90.00
_cell_angle_gamma 90.00
loop_
_atom_site_label
_atom_site_type_symbol
_atom_site_fract_x
_atom_site_fract_y
_atom_site_fract_z
_atom_site_occupancy
Cr1 Cr 0.0000 0.0000 0.0000 1
Fe1 Fe 0.0000 0.0000 0.5000 1
Sb1 Sb 0.2500 0.2500 0.2500 1
```